[1]
Material: PrGa2PdPt4
Method: DFT, PBE
State: relaxed

Cell: 9.284 9.284 9.284 Å, 27.03 27.03 27.03°
Positions (direct):
Pr  0.000  0.000  0.000
Ga  0.235  0.235  0.235
Ga  0.765  0.765  0.765
Pd  0.500  0.500  0.500
Pt  0.122  0.122  0.122
Pt  0.400  0.400  0.400
Pt  0.600  0.600  0.600
Pt  0.878  0.878  0.878

Computed properties:
For the calculated formation energy, the calculation gives -0.6525 eV/atom. As for the density of states at the Fermi level: 0.636 states/eV/atom. As for the space-group type: No. 166. The total energy is -5.68 eV/atom.


[2]
Material: Zr2BeTe
Method: DFT, PBE
State: relaxed

Cell: 6.824 6.824 6.824 Å, 90.00 90.00 90.00°
Positions (direct):
Zr  0.000  0.000  0.000
Zr  0.000  0.500  0.500
Zr  0.250  0.250  0.250
Zr  0.250  0.750  0.750
Zr  0.500  0.000  0.500
Zr  0.500  0.500  0.000
Zr  0.750  0.250  0.750
Zr  0.750  0.750  0.250
Be  0.250  0.250  0.750
Be  0.250  0.750  0.250
Be  0.750  0.250  0.250
Be  0.750  0.750  0.750
Te  0.000  0.000  0.500
Te  0.000  0.500  0.000
Te  0.500  0.000  0.000
Te  0.500  0.500  0.500

Computed properties:
As for the density of states at the Fermi level: 1.275 states/eV/atom. Its distance to the lowest polymorph of the same formula is 0.7755 eV per atom. As for the space-group type: No. 216. The formation energy (no corrections) comes out at 355 meV/atom. The total energy is -5.64 eV/atom.


[3]
Material: CuSi2Sb
Method: DFT, PBE
State: relaxed

Cell: 3.408 3.408 6.052 Å, 90.00 90.00 90.00°
Positions (direct):
Cu  0.000  0.000  0.000
Si  0.500  0.500  0.197
Si  0.500  0.500  0.803
Sb  0.000  0.000  0.500

Computed properties:
As for the density of states at the Fermi level: 0.230 states/eV/atom. As for the space-group type: No. 123. The formation energy (no corrections) comes out at 414 meV/atom. The total energy is -4.35 eV/atom.


[4]
Material: La4PmHo
Method: DFT, PBE
State: relaxed

Cell: 11.371 6.137 6.127 Å, 90.00 90.00 90.00°
Positions (direct):
La  0.158  0.000  0.000
La  0.158  0.500  0.501
La  0.342  0.000  0.499
La  0.342  0.500  0.000
La  0.658  0.000  0.501
La  0.658  0.500  0.000
La  0.842  0.000  0.000
La  0.842  0.500  0.499
Pm  0.000  0.000  0.500
Pm  0.500  0.500  0.500
Ho  0.000  0.500  0.000
Ho  0.500  0.000  0.000

Computed properties:
For the calculated formation energy, the calculation gives 0.0971 eV/atom. As for the density of states at the Fermi level: 1.981 states/eV/atom. Its distance to the lowest polymorph of the same formula is 0.0000 eV per atom. As for the space-group type: No. 12. The total energy is -4.74 eV/atom.